# 1
# BeInPt

Crystalline BeInPt at its relaxed geometry (PBE, Alexandria).

Lattice parameters (Å, degrees): 3.9598 3.9598 3.5890 90.00 90.00 120.00
Space group P-6m2 (No. 187)
Asymmetric unit:
Be: 0.0000 0.0000 0.0000
In: 0.6667 0.3333 0.5000
Pt: 0.3333 0.6667 0.0000

Properties
As for the offset from the most stable computed form: 0.000 eV/atom. The formation energy is -0.305 eV per atom.

***

# 2
# SmBe2InPt5

Crystalline SmBe2InPt5 at its relaxed geometry (PBE, Alexandria).

Lattice parameters (Å, degrees): 4.151 4.151 8.570 90.00 90.00 90.00
Space group P4/mmm (No. 123)
Asymmetric unit:
Sm: 0.000 0.000 0.000
Be: 0.500 0.500 0.353
In: 0.000 0.000 0.500
Pt: 0.000 0.500 0.258
Pt: 0.500 0.500 0.000

Properties
The formation energy is -0.648 eV per atom.

***

# 3
# Tb2BeInPt6

Crystalline Tb2BeInPt6 at its relaxed geometry (PBE, Alexandria).

Lattice parameters (Å, degrees): 5.5856 5.5856 23.8097 90.00 90.00 120.00
Space group R-3m (No. 166, hexagonal axes)
Asymmetric unit:
Tb: 0.0000 0.0000 0.2008
Be: 0.0000 0.0000 0.5000
In: 0.0000 0.0000 0.0000
Pt: 0.0019 0.5010 0.2389

Properties
The formation energy is -0.838 eV per atom.

***

# 4
# Th2Be3InPt4

Crystalline Th2Be3InPt4 at its relaxed geometry (PBE, Alexandria).

Lattice parameters (Å, degrees): 4.043 4.043 10.915 90.00 90.00 90.00
Space group P-4m2 (No. 115)
Asymmetric unit:
Th: 0.000 0.500 0.233
Be: 0.000 0.500 0.889
Be: 0.500 0.500 0.500
In: 0.000 0.000 0.500
Pt: 0.000 0.000 0.000
Pt: 0.000 0.500 0.673
Pt: 0.500 0.500 0.000

Properties
The formation energy is -0.818 eV per atom.

***

# 5
# Y2Be2InPt5

Crystalline Y2Be2InPt5 at its relaxed geometry (PBE, Alexandria).

Lattice parameters (Å, degrees): 9.646 9.646 3.579 90.00 90.00 90.00
Space group P4/mbm (No. 127)
Asymmetric unit:
Y: 0.178 0.322 0.000
Be: 0.117 0.617 0.000
In: 0.000 0.000 0.000
Pt: 0.000 0.500 0.500
Pt: 0.068 0.780 0.500

Properties
The formation energy is -0.963 eV per atom.

***

# 6
# Y2Be3InPt4

Crystalline Y2Be3InPt4 at its relaxed geometry (PBE, Alexandria).

Lattice parameters (Å, degrees): 4.065 4.065 10.282 90.00 90.00 90.00
Space group P-4m2 (No. 115)
Asymmetric unit:
Y: 0.000 0.500 0.233
Be: 0.000 0.500 0.887
Be: 0.500 0.500 0.500
In: 0.000 0.000 0.500
Pt: 0.000 0.000 0.000
Pt: 0.000 0.500 0.666
Pt: 0.500 0.500 0.000

Properties
The formation energy is -0.839 eV per atom.

***

# 7
# PuBeIn

Crystalline PuBeIn at its relaxed geometry (PBE, Alexandria).

Lattice parameters (Å, degrees): 5.012 8.851 21.020 90.00 90.00 90.00
Space group Fddd (No. 70, origin choice 2)
Asymmetric unit:
Pu: 0.125 0.289 0.125
Be: 0.125 0.125 0.001
In: 0.125 0.125 0.544

Properties
The formation energy is 0.128 eV per atom.

***

# 8
# Pu2BeIn

Crystalline Pu2BeIn at its relaxed geometry (PBE, Alexandria).

Lattice parameters (Å, degrees): 3.092 3.092 8.992 90.00 90.00 90.00
Space group P4/mmm (No. 123)
Asymmetric unit:
Pu: 0.000 0.000 0.212
Be: 0.500 0.500 0.000
In: 0.500 0.500 0.500

Properties
The formation energy is 0.083 eV per atom.

***

# 9
# RbBe3In

Crystalline RbBe3In at its relaxed geometry (PBE, Alexandria).

Lattice parameters (Å, degrees): 5.713 5.713 5.713 90.00 90.00 90.00
Space group Pm-3m (No. 221)
Asymmetric unit:
Rb: 0.000 0.000 0.000
Be: 0.000 0.000 0.500
In: 0.500 0.500 0.500

Properties
As for the offset from the most stable computed form: 1.145 eV/atom. The formation energy is 2.206 eV per atom.

***

# 10
# Rb3BeIn

Crystalline Rb3BeIn at its relaxed geometry (PBE, Alexandria).

Lattice parameters (Å, degrees): 6.615 6.615 6.615 90.00 90.00 90.00
Space group Pm-3m (No. 221)
Asymmetric unit:
Rb: 0.000 0.000 0.500
Be: 0.000 0.000 0.000
In: 0.500 0.500 0.500

Properties
As for the offset from the most stable computed form: 0.000 eV/atom. The formation energy is 0.664 eV per atom.

***

# 11
# RbBeIn2

Crystalline RbBeIn2 at its relaxed geometry (PBE, Alexandria).

Lattice parameters (Å, degrees): 6.325 6.325 14.571 90.00 90.00 90.00
Space group I4_1/amd (No. 141, origin choice 2)
Asymmetric unit:
Rb: 0.000 0.250 0.375
Be: 0.000 0.250 0.875
In: 0.000 0.000 0.000

Properties
The formation energy is 0.302 eV per atom.

***

# 12
# RbBe3In

Crystalline RbBe3In at its relaxed geometry (PBE, Alexandria).

Lattice parameters (Å, degrees): 4.865 4.865 4.865 90.00 90.00 90.00
Space group Pm-3m (No. 221)
Asymmetric unit:
Rb: 0.000 0.000 0.000
Be: 0.000 0.500 0.500
In: 0.500 0.500 0.500

Properties
As for the offset from the most stable computed form: 0.000 eV/atom. The formation energy is 1.061 eV per atom.

***

# 13
# Rb2BeInSi

Crystalline Rb2BeInSi at its relaxed geometry (PBE, Alexandria).

Lattice parameters (Å, degrees): 6.860 6.860 4.954 90.00 90.00 90.00
Space group P4/mmm (No. 123)
Asymmetric unit:
Rb: 0.000 0.500 0.000
Be: 0.000 0.000 0.500
In: 0.500 0.500 0.000
Si: 0.500 0.500 0.500

Properties
The uncorrected formation energy is 873.5 meV per atom.

***

# 14
# RbBe2InTc

Crystalline RbBe2InTc at its relaxed geometry (PBE, Alexandria).

Lattice parameters (Å, degrees): 5.001 5.001 5.828 90.00 90.00 90.00
Space group P4/mmm (No. 123)
Asymmetric unit:
Rb: 0.000 0.000 0.000
Be: 0.000 0.500 0.000
In: 0.000 0.000 0.500
Tc: 0.500 0.500 0.500

Properties
The formation energy is 2.645 eV per atom.

***

# 15
# RbBeInTe2

Crystalline RbBeInTe2 at its relaxed geometry (PBE, Alexandria).

Lattice parameters (Å, degrees): 5.796 5.796 6.548 90.00 90.00 90.00
Space group P4/mmm (No. 123)
Asymmetric unit:
Rb: 0.000 0.000 0.000
Be: 0.500 0.500 0.000
In: 0.000 0.000 0.500
Te: 0.000 0.500 0.500

Properties
The uncorrected formation energy is 580.5 meV per atom.

***

# 16
# Rb2BeInW

Crystalline Rb2BeInW at its relaxed geometry (PBE, Alexandria).

Lattice parameters (Å, degrees): 7.099 7.099 4.668 90.00 90.00 90.00
Space group P4/mmm (No. 123)
Asymmetric unit:
Rb: 0.000 0.500 0.000
Be: 0.000 0.000 0.500
In: 0.000 0.000 0.000
W: 0.500 0.500 0.500

Properties
The formation energy is 1.680 eV per atom.

***

# 17
# BeIn3Re

Crystalline BeIn3Re at its relaxed geometry (PBE, Alexandria).

Lattice parameters (Å, degrees): 4.765 4.765 4.765 90.00 90.00 90.00
Space group Pm-3m (No. 221)
Asymmetric unit:
Be: 0.000 0.000 0.000
In: 0.000 0.000 0.500
Re: 0.500 0.500 0.500

Properties
As for the offset from the most stable computed form: 0.164 eV/atom. The formation energy is 1.193 eV per atom.

***

# 18
# BeInRe3

Crystalline BeInRe3 at its relaxed geometry (PBE, Alexandria).

Lattice parameters (Å, degrees): 4.242 4.242 4.242 90.00 90.00 90.00
Space group Pm-3m (No. 221)
Asymmetric unit:
Be: 0.000 0.000 0.000
In: 0.500 0.500 0.500
Re: 0.000 0.000 0.500

Properties
As for the offset from the most stable computed form: 0.000 eV/atom. The formation energy is 0.870 eV per atom.

***

# 19
# BeIn2Re

Crystalline BeIn2Re at its relaxed geometry (PBE, Alexandria).

Lattice parameters (Å, degrees): 3.377 4.392 9.192 90.00 90.00 90.00
Space group Imm2 (No. 44)
Asymmetric unit:
Be: 0.000 0.000 0.000
In: 0.000 0.000 0.550
In: 0.000 0.500 0.773
Re: 0.000 0.500 0.323

Properties
The formation energy is 0.413 eV per atom.

***

# 20
# Be2InRe

Crystalline Be2InRe at its relaxed geometry (PBE, Alexandria).

Lattice parameters (Å, degrees): 2.712 3.934 5.302 90.00 104.61 90.00
Space group Pm (No. 6)
Asymmetric unit:
Be: 0.000 0.000 0.000
Be: 0.117 0.500 0.233
In: 0.752 0.000 0.501
Re: 0.427 0.500 0.847

Properties
The formation energy is 0.356 eV per atom.

***

# 21
# Be2InRe

Crystalline Be2InRe at its relaxed geometry (PBE, Alexandria).

Lattice parameters (Å, degrees): 2.8663 2.8663 24.3286 90.00 90.00 120.00
Space group R-3m (No. 166, hexagonal axes)
Asymmetric unit:
Be: 0.0000 0.0000 0.2425
In: 0.0000 0.0000 0.0000
Re: 0.0000 0.0000 0.5000

Properties
The formation energy is 0.502 eV per atom.

***

# 22
# Be2InRe2

Crystalline Be2InRe2 at its relaxed geometry (PBE, Alexandria).

Lattice parameters (Å, degrees): 6.259 6.259 3.266 90.00 90.00 90.00
Space group P4/mbm (No. 127)
Asymmetric unit:
Be: 0.116 0.384 0.000
In: 0.000 0.000 0.000
Re: 0.169 0.669 0.500

Properties
As for the offset from the most stable computed form: 0.000 eV/atom. The formation energy is 0.149 eV per atom.

***

# 23
# BeIn2Re

Crystalline BeIn2Re at its relaxed geometry (PBE, Alexandria).

Lattice parameters (Å, degrees): 3.424 4.758 8.635 90.00 90.00 90.00
Space group Cmmm (No. 65)
Asymmetric unit:
Be: 0.000 0.000 0.000
In: 0.000 0.500 0.236
Re: 0.000 0.000 0.500

Properties
The formation energy is 0.803 eV per atom.

***

# 24
# Be2InRe

Crystalline Be2InRe at its relaxed geometry (PBE, Alexandria).

Lattice parameters (Å, degrees): 3.506 3.506 8.534 90.00 90.00 90.00
Space group I-4m2 (No. 119)
Asymmetric unit:
Be: 0.000 0.000 0.000
Be: 0.000 0.500 0.250
In: 0.000 0.500 0.750
Re: 0.000 0.000 0.500

Properties
The formation energy is 0.220 eV per atom.

***

# 25
# BeIn2Re

Crystalline BeIn2Re at its relaxed geometry (PBE, Alexandria).

Lattice parameters (Å, degrees): 3.484 3.484 5.637 90.00 90.00 90.00
Space group P4/mmm (No. 123)
Asymmetric unit:
Be: 0.000 0.000 0.000
In: 0.500 0.500 0.245
Re: 0.000 0.000 0.500

Properties
The formation energy is 0.589 eV per atom.

***

# 26
# Be3InRe

Crystalline Be3InRe at its relaxed geometry (PBE, Alexandria).

Lattice parameters (Å, degrees): 4.312 4.312 4.312 90.00 90.00 90.00
Space group Pm-3m (No. 221)
Asymmetric unit:
Be: 0.000 0.000 0.500
In: 0.500 0.500 0.500
Re: 0.000 0.000 0.000

Properties
As for the offset from the most stable computed form: 0.000 eV/atom. The formation energy is 0.913 eV per atom.

***

# 27
# Be4InRe

Crystalline Be4InRe at its relaxed geometry (PBE, Alexandria).

Lattice parameters (Å, degrees): 6.438 6.438 6.438 90.00 90.00 90.00
Space group F-43m (No. 216)
Asymmetric unit:
Be: 0.120 0.120 0.380
In: 0.000 0.000 0.000
Re: 0.250 0.250 0.750

Properties
The formation energy is 0.132 eV per atom.